# 1
Ba3Tl3In: relaxed, PBE.

The structure in extended XYZ format:
```
14
Lattice="6.538 -2.507 0.000 6.538 2.507 0.000 -5.964 0.000 16.779" Properties=species:S:1:pos:R:3 pbc="T T T"
Ba -1.961 0.000 6.496
Ba -4.139 0.000 15.468
Ba 1.770 0.000 3.892
Ba 5.343 0.000 12.887
Ba 11.252 0.000 1.311
Ba 9.074 0.000 10.283
Tl 1.866 0.000 7.810
Tl -0.438 0.000 15.486
Tl 1.601 0.000 12.865
Tl 5.512 0.000 3.915
Tl 7.550 0.000 1.293
Tl 5.247 0.000 8.969
In -0.168 0.000 10.266
In 7.281 0.000 6.513
```

Results
**Space group**: C2/m, No. 12
**E_tot**: -2.62 eV/atom
**Formation energy from the elements**: -2.76 eV/f.u.
**D(E_F)**: 11.1 states/eV/cell


# 2
Ba2TlIn2: relaxed, PBE.

The structure in extended XYZ format:
```
10
Lattice="6.347 -2.738 0.000 6.347 2.738 0.000 -4.402 0.000 10.487" Properties=species:S:1:pos:R:3 pbc="T T T"
Ba -0.387 0.000 3.971
Ba 1.945 0.000 0.577
Ba 6.347 0.000 9.910
Ba 8.679 0.000 6.516
Tl -0.448 0.000 7.703
Tl 8.740 0.000 2.783
In 3.464 0.000 3.901
In 2.444 0.000 8.995
In 5.849 0.000 1.492
In 4.829 0.000 6.585
```

Results
**Excess energy over the best structure of this formula in the dataset**: 47 meV per atom
**Space group**: C2/m, No. 12
**E_tot**: -2.70 eV/atom
**Formation energy from the elements**: -1.82 eV/f.u.
**D(E_F)**: 10.1 states/eV/cell


# 3
BaTlIn2: relaxed, PBE.

The structure in extended XYZ format:
```
4
Lattice="3.962 -4.060 0.000 3.962 4.060 0.000 -3.945 0.000 4.006" Properties=species:S:1:pos:R:3 pbc="T T T"
Ba 0.000 0.000 0.000
Tl 1.989 2.025 2.003
In 3.962 -0.001 0.000
In 1.989 -2.025 2.003
```

Results
**Excess energy over the best structure of this formula in the dataset**: 46 meV per atom
**Space group**: C2, No. 5
**E_tot**: -2.71 eV/atom
**Formation energy from the elements**: -1.09 eV/f.u.
**D(E_F)**: 1.9 states/eV/cell


Q: What is the formation energy from the elements in the third record?
A: -1.09 eV/f.u.